Entry 1:
# LaYAu2O8 | the Alexandria database | GGA-PBE | optimized geometry
# V = 13.84 Å³/atom
# DOS(E_F) = 0.20 states/eV per atom
# Size of the total moment = 4.0 μB/f.u.
# Raw formation energy = -27.2 kcal/mol of atoms
# Density = 7.5 Mg/m³
# E_tot = -71.75 eV for the cell shown
data_LaYAu2O8
_chemical_formula_sum 'La1 Y1 Au2 O8'
_symmetry_space_group_name_H-M 'P 1'
_symmetry_Int_Tables_number 1
_cell_length_a 5.634
_cell_length_b 5.634
_cell_length_c 6.577
_cell_angle_alpha 115.36
_cell_angle_beta 115.36
_cell_angle_gamma 90.00
loop_
_symmetry_equiv_pos_as_xyz
'x,y,z'
loop_
_atom_site_label
_atom_site_fract_x
_atom_site_fract_y
_atom_site_fract_z
La1 0.000 0.000 0.000
Y1 0.750 0.250 0.500
O1 0.344 0.036 0.427
O2 0.790 0.354 0.916
O3 0.609 0.656 0.573
O4 0.964 0.917 0.573
O5 0.438 0.210 0.084
Au1 0.250 0.750 0.500
O6 0.126 0.562 0.916
O7 0.083 0.391 0.427
O8 0.646 0.874 0.084
Au2 0.500 0.500 0.000

Entry 2:
# Be2CuSiSn | the Alexandria database | GGA-PBE | optimized geometry
# V = 20.05 Å³/atom
# DOS(E_F) = 0.49 states/eV per atom
# Size of the total moment = 0.0 μB/f.u.
# Raw formation energy = 29.2 kcal/mol of atoms
# Density = 3.8 Mg/m³
# E_tot = -14.63 eV for the cell shown
data_Be2CuSiSn
_chemical_formula_sum 'Be2 Cu1 Si1 Sn1'
_symmetry_space_group_name_H-M 'P 1'
_symmetry_Int_Tables_number 1
_cell_length_a 4.463
_cell_length_b 5.034
_cell_length_c 4.463
_cell_angle_alpha 90.00
_cell_angle_beta 90.00
_cell_angle_gamma 90.00
loop_
_symmetry_equiv_pos_as_xyz
'x,y,z'
loop_
_atom_site_label
_atom_site_fract_x
_atom_site_fract_y
_atom_site_fract_z
Sn1 0.000 0.000 0.000
Si1 0.500 0.500 0.500
Be1 0.000 0.000 0.500
Cu1 0.000 0.500 0.000
Be2 0.500 0.000 0.000

Entry 3:
# ZnPtSe2 | the Alexandria database | GGA-PBE | optimized geometry
# V = 20.63 Å³/atom
# DOS(E_F) = 0.55 states/eV per atom
# Size of the total moment = 0.0 μB/f.u.
# Raw formation energy = -4.4 kcal/mol of atoms
# Density = 8.4 Mg/m³
# E_tot = -15.05 eV for the cell shown
data_ZnPtSe2
_chemical_formula_sum 'Zn1 Pt1 Se2'
_symmetry_space_group_name_H-M 'P 1'
_symmetry_Int_Tables_number 1
_cell_length_a 6.818
_cell_length_b 6.818
_cell_length_c 6.818
_cell_angle_alpha 32.75
_cell_angle_beta 32.75
_cell_angle_gamma 32.75
loop_
_symmetry_equiv_pos_as_xyz
'x,y,z'
loop_
_atom_site_label
_atom_site_fract_x
_atom_site_fract_y
_atom_site_fract_z
Se1 0.225 0.225 0.225
Zn1 0.503 0.503 0.503
Se2 0.025 0.025 0.025
Pt1 0.747 0.747 0.747

Entry 4:
# Mg4P | the Alexandria database | GGA-PBE | optimized geometry
# V = 23.81 Å³/atom
# DOS(E_F) = 0.79 states/eV per atom
# ΔH_f (0 K) = 0.0726 eV/atom
# ΔE to the lowest computed polymorph = 0.1554 eV/atom
# Size of the total moment = 0.0 μB/f.u.
# Density = 1.8 Mg/m³
# E_tot = -11.43 eV for the cell shown
data_Mg4P
_chemical_formula_sum 'Mg4 P1'
_symmetry_space_group_name_H-M 'P 1'
_symmetry_Int_Tables_number 1
_cell_length_a 5.368
_cell_length_b 5.368
_cell_length_c 5.368
_cell_angle_alpha 109.47
_cell_angle_beta 109.47
_cell_angle_gamma 109.47
loop_
_symmetry_equiv_pos_as_xyz
'x,y,z'
loop_
_atom_site_label
_atom_site_fract_x
_atom_site_fract_y
_atom_site_fract_z
Mg1 0.000 0.500 0.000
P1 0.000 0.000 0.000
Mg2 0.500 0.000 0.000
Mg3 0.500 0.500 0.500
Mg4 0.000 0.000 0.500

Entry 5:
# Ac2Pm6Er | the Alexandria database | GGA-PBE | optimized geometry
# V = 36.11 Å³/atom
# DOS(E_F) = 1.50 states/eV per atom
# ΔH_f (0 K) = 0.0924 eV/atom
# ΔE to the lowest computed polymorph = 0.0000 eV/atom
# Size of the total moment = 0.0 μB/f.u.
# Density = 7.6 Mg/m³
# E_tot = -80.90 eV for the cell shown
data_Ac2Pm6Er
_chemical_formula_sum 'Ac4 Pm12 Er2'
_symmetry_space_group_name_H-M 'P 1'
_symmetry_Int_Tables_number 1
_cell_length_a 9.315
_cell_length_b 9.285
_cell_length_c 9.315
_cell_angle_alpha 66.82
_cell_angle_beta 66.01
_cell_angle_gamma 66.82
loop_
_symmetry_equiv_pos_as_xyz
'x,y,z'
loop_
_atom_site_label
_atom_site_fract_x
_atom_site_fract_y
_atom_site_fract_z
Ac1 0.521 0.818 0.668
Pm1 0.001 0.662 0.835
Ac2 0.479 0.182 0.332
Pm2 0.406 0.422 0.922
Pm3 0.078 0.078 0.594
Pm4 0.855 0.480 0.671
Pm5 0.329 0.020 0.145
Ac3 0.668 0.318 0.521
Pm6 0.999 0.338 0.165
Pm7 0.835 0.162 0.001
Pm8 0.671 0.980 0.855
Er1 0.239 0.250 0.761
Er2 0.761 0.750 0.239
Pm9 0.594 0.578 0.078
Ac4 0.332 0.682 0.479
Pm10 0.165 0.838 0.999
Pm11 0.145 0.520 0.329
Pm12 0.922 0.922 0.406

Entry 6:
# Re2NiPt | the Alexandria database | GGA-PBE | optimized geometry
# V = 14.13 Å³/atom
# DOS(E_F) = 1.16 states/eV per atom
# ΔH_f (0 K) = 0.0323 eV/atom
# ΔE to the lowest computed polymorph = 0.0780 eV/atom
# Size of the total moment = 0.0 μB/f.u.
# Density = 18.4 Mg/m³
# E_tot = -36.59 eV for the cell shown
data_Re2NiPt
_chemical_formula_sum 'Re2 Ni1 Pt1'
_symmetry_space_group_name_H-M 'P 1'
_symmetry_Int_Tables_number 1
_cell_length_a 4.816
_cell_length_b 4.816
_cell_length_c 4.816
_cell_angle_alpha 134.18
_cell_angle_beta 134.18
_cell_angle_gamma 66.80
loop_
_symmetry_equiv_pos_as_xyz
'x,y,z'
loop_
_atom_site_label
_atom_site_fract_x
_atom_site_fract_y
_atom_site_fract_z
Re1 0.500 0.500 0.000
Pt1 0.750 0.250 0.500
Re2 0.000 0.000 0.000
Ni1 0.250 0.750 0.500

Entry 7:
# PmSm2Tl2Hg2 | the Alexandria database | GGA-PBE | optimized geometry
# V = 28.33 Å³/atom
# DOS(E_F) = 0.56 states/eV per atom
# ΔH_f (0 K) = -0.2220 eV/atom
# Size of the total moment = 0.0 μB/f.u.
# Density = 10.5 Mg/m³
# E_tot = -21.08 eV for the cell shown
data_PmSm2Tl2Hg2
_chemical_formula_sum 'Pm1 Sm2 Tl2 Hg2'
_symmetry_space_group_name_H-M 'P 1'
_symmetry_Int_Tables_number 1
_cell_length_a 5.031
_cell_length_b 5.031
_cell_length_c 9.503
_cell_angle_alpha 74.65
_cell_angle_beta 74.65
_cell_angle_gamma 60.00
loop_
_symmetry_equiv_pos_as_xyz
'x,y,z'
loop_
_atom_site_label
_atom_site_fract_x
_atom_site_fract_y
_atom_site_fract_z
Pm1 0.000 0.000 0.000
Sm1 0.867 0.867 0.400
Tl1 0.727 0.727 0.819
Hg1 0.433 0.433 0.702
Tl2 0.273 0.273 0.181
Hg2 0.567 0.567 0.298
Sm2 0.133 0.133 0.600

Entry 8:
# CeHo8Th2 | the Alexandria database | GGA-PBE | optimized geometry
# V = 33.27 Å³/atom
# DOS(E_F) = 1.95 states/eV per atom
# ΔH_f (0 K) = 0.2120 eV/atom
# Size of the total moment = 1.4 μB/f.u.
# Density = 8.7 Mg/m³
# E_tot = -55.06 eV for the cell shown
data_CeHo8Th2
_chemical_formula_sum 'Ce1 Ho8 Th2'
_symmetry_space_group_name_H-M 'P 1'
_symmetry_Int_Tables_number 1
_cell_length_a 5.553
_cell_length_b 10.122
_cell_length_c 10.122
_cell_angle_alpha 40.07
_cell_angle_beta 92.05
_cell_angle_gamma 92.05
loop_
_symmetry_equiv_pos_as_xyz
'x,y,z'
loop_
_atom_site_label
_atom_site_fract_x
_atom_site_fract_y
_atom_site_fract_z
Ho1 0.238 0.547 0.547
Ho2 0.766 0.818 0.818
Ho3 0.262 0.601 0.136
Th1 0.741 0.282 0.282
Ho4 0.762 0.453 0.453
Ho5 0.738 0.399 0.864
Ho6 0.262 0.136 0.601
Ce1 0.000 0.000 0.000
Ho7 0.234 0.182 0.182
Ho8 0.738 0.864 0.399
Th2 0.259 0.718 0.718

Question: What is the formula in the fourth record?
Answer: Mg4P